This record from the Alexandria database describes a geometry-optimized Pr6ZnIn2 structure. The functional is GGA-PBE.

Values from the calculation:
DOS at the Fermi energy in states/eV/f.u.: 13.272
Crystal system: monoclinic
E_form in meV/atom: -65

a b c (Å): 9.1137 9.1137 5.3024
angles (deg): 106.76 106.76 48.81
Sites, in units of the cell vectors:
1 Pr 0.0824 0.5945 0.3388
2 Pr 0.2330 0.7670 0.0000
3 Pr 0.4055 0.9176 0.6612
4 Pr 0.5945 0.0824 0.3388
5 Pr 0.7670 0.2330 0.0000
6 Pr 0.9176 0.4055 0.6612
7 Zn 0.0000 0.0000 0.5000
8 In 0.3349 0.3349 0.8354
9 In 0.6651 0.6651 0.1646